P:
Entry from OQMD: HoGeHO4 after structural relaxation (GGA-PBE).

a = 6.743 Å, b = 6.832 Å, c = 7.784 Å
α = 112.52°, β = 90.00°, γ = 90.00°
Element x y z (fractional)
1 O 0.183 0.550 0.105
2 O 0.077 0.732 0.821
3 O 0.954 0.937 0.281
4 O 0.195 0.296 0.473
5 O 0.423 0.232 0.821
6 O 0.695 0.204 0.527
7 O 0.577 0.768 0.179
8 O 0.454 0.563 0.719
9 O 0.805 0.704 0.527
10 O 0.923 0.268 0.179
11 O 0.683 0.950 0.895
12 O 0.046 0.063 0.719
13 O 0.546 0.437 0.281
14 O 0.817 0.450 0.895
15 O 0.317 0.050 0.105
16 O 0.305 0.796 0.473
17 Ho 0.359 0.900 0.796
18 Ho 0.641 0.100 0.204
19 Ho 0.141 0.400 0.796
20 Ho 0.859 0.600 0.204
21 H 0.808 0.113 0.531
22 H 0.692 0.613 0.531
23 H 0.192 0.887 0.469
24 H 0.308 0.387 0.469
25 Ge 0.605 0.374 0.758
26 Ge 0.395 0.626 0.242
27 Ge 0.105 0.126 0.242
28 Ge 0.895 0.874 0.758

Output
Total magnetic moment ... 0.0 μB per formula unit


Q:
Entry from OQMD: HoGeHO4 after structural relaxation (GGA-PBE).

a = 11.044 Å, b = 5.991 Å, c = 4.897 Å
α = 90.00°, β = 90.00°, γ = 90.00°
Element x y z (fractional)
1 Ho 0.246 0.750 0.518
2 Ho 0.754 0.250 0.482
3 Ho 0.254 0.250 0.018
4 Ho 0.746 0.750 0.982
5 O 0.839 0.537 0.661
6 O 0.445 0.750 0.338
7 O 0.339 0.963 0.839
8 O 0.661 0.037 0.161
9 O 0.432 0.250 0.230
10 O 0.161 0.037 0.339
11 O 0.568 0.750 0.770
12 O 0.932 0.250 0.270
13 O 0.161 0.463 0.339
14 O 0.839 0.963 0.661
15 O 0.055 0.250 0.838
16 O 0.945 0.750 0.162
17 O 0.555 0.250 0.662
18 O 0.068 0.750 0.730
19 O 0.661 0.463 0.161
20 O 0.339 0.537 0.839
21 H 0.000 0.500 0.000
22 H 0.500 0.500 0.500
23 H 0.000 0.000 0.000
24 H 0.500 0.000 0.500
25 Ge 0.437 0.750 0.967
26 Ge 0.563 0.250 0.033
27 Ge 0.937 0.750 0.533
28 Ge 0.063 0.250 0.467

Output
Total magnetic moment ... 0.0 μB per formula unit


Tell me which of them is the most stable. Sure, it is P.


P:
Entry from OQMD: BeZnSO after structural relaxation (GGA-PBE).

a = 5.777 Å, b = 6.463 Å, c = 5.525 Å
α = 90.00°, β = 90.00°, γ = 90.00°
Element x y z (fractional)
1 Zn 0.397 0.118 0.966
2 Zn 0.103 0.118 0.466
3 Zn 0.897 0.882 0.966
4 Zn 0.603 0.882 0.466
5 Be 0.057 0.656 0.530
6 Be 0.943 0.344 0.030
7 Be 0.443 0.656 0.030
8 Be 0.557 0.344 0.530
9 S 0.099 0.622 0.153
10 S 0.901 0.378 0.653
11 S 0.401 0.622 0.653
12 S 0.599 0.378 0.153
13 O 0.930 0.867 0.601
14 O 0.570 0.867 0.101
15 O 0.070 0.133 0.101
16 O 0.430 0.133 0.601


Q:
Entry from OQMD: BeZnSO after structural relaxation (GGA-PBE).

a = 3.625 Å, b = 3.625 Å, c = 8.854 Å
α = 90.00°, β = 90.00°, γ = 90.00°
Element x y z (fractional)
1 Zn 0.250 0.250 0.417
2 Zn 0.750 0.750 0.583
3 Be 0.750 0.750 0.094
4 Be 0.250 0.250 0.906
5 S 0.250 0.250 0.137
6 S 0.750 0.750 0.863
7 O 0.750 0.250 0.500
8 O 0.250 0.750 0.500


Tell me which of them is the most stable. Sure, it is P.


P:
Entry from OQMD: NdMg after structural relaxation (GGA-PBE).

a = 5.066 Å, b = 5.066 Å, c = 5.066 Å
α = 60.00°, β = 60.00°, γ = 60.00°
Element x y z (fractional)
1 Mg 0.000 0.000 0.000
2 Nd 0.250 0.250 0.250

Output
Total magnetic moment ... 0.1 μB per formula unit


Q:
Entry from OQMD: NdMg after structural relaxation (GGA-PBE).

a = 10.791 Å, b = 4.029 Å, c = 5.449 Å
α = 90.00°, β = 90.00°, γ = 90.00°
Element x y z (fractional)
1 Mg 0.178 0.000 0.500
2 Mg 0.739 0.500 0.000
3 Mg 0.947 0.000 0.000
4 Mg 0.969 0.500 0.500
5 Nd 0.720 0.000 0.500
6 Nd 0.196 0.500 0.000
7 Nd 0.491 0.000 0.000
8 Nd 0.426 0.500 0.500

Output
Total magnetic moment ... 0.0 μB per formula unit


Tell me which of them is the most stable. Sure, it is Q.